This record from the Alexandria database describes an optimized crystal structure of AlCrMoO6. The functional is PBE with a Hubbard U.

**Final energy**: -7.392 eV/atom
**Theoretical density**: 4.8 g/cm³
**Size of the total moment**: 3.00 μB/f.u.
**Space group**: P4_2nm

Unit cell a=4.601 b=4.601 c=8.866 alpha=90.00 beta=90.00 gamma=90.00
Each line ends with the local moment (μB).
Positions (direct):
O (0.196, 0.804, 0.493)  -0.02
O (0.690, 0.690, 0.668)  -0.03
O (0.304, 0.304, 0.993)  -0.02
O (0.804, 0.196, 0.493)  -0.02
O (0.310, 0.310, 0.668)  -0.03
O (0.203, 0.797, 0.841)  -0.02
O (0.297, 0.297, 0.341)  -0.02
O (0.190, 0.810, 0.168)  -0.03
O (0.696, 0.696, 0.993)  -0.02
O (0.797, 0.203, 0.841)  -0.02
O (0.703, 0.703, 0.341)  -0.02
O (0.810, 0.190, 0.168)  -0.03
Cr (0.000, 0.000, 0.664)  2.94
Cr (0.500, 0.500, 0.164)  2.94
Mo (0.500, 0.500, 0.498)  0.12
Mo (0.000, 0.000, 0.998)  0.12
Al (0.000, 0.000, 0.335)  0.01
Al (0.500, 0.500, 0.835)  0.01